[1]
Material: Pm4SiHg
Method: DFT, PBE-GGA
State: relaxed

Cell and atoms, written as CIF:
```
data_Pm4SiHg
_chemical_formula_sum 'Pm4 Si1 Hg1'
_cell_length_a 5.068
_cell_length_b 5.068
_cell_length_c 7.308
_cell_angle_alpha 90.00
_cell_angle_beta 90.00
_cell_angle_gamma 90.00
_space_group_name_H-M_alt 'P 4/m m m'
_space_group_IT_number 123
_space_group_name_Hall '-P 4 2'
loop_
_atom_site_label
_atom_site_fract_x
_atom_site_fract_y
_atom_site_fract_z
_atom_site_occupancy
Pm1 0.000 0.500 0.240 1
Si1 0.000 0.000 0.000 1
Hg1 0.500 0.500 0.500 1
```

* ΔE_f (raw): -0.248 eV per atom
* D(E_F): 8.25 states/eV per cell

=====

[2]
Material: MgPaInGa
Method: DFT, PBE-GGA
State: relaxed

Cell and atoms, written as CIF:
```
data_MgPaInGa
_chemical_formula_sum 'Mg4 Pa4 In4 Ga4'
_cell_length_a 7.140
_cell_length_b 7.140
_cell_length_c 7.140
_cell_angle_alpha 90.00
_cell_angle_beta 90.00
_cell_angle_gamma 90.00
_space_group_name_H-M_alt 'F -4 3 m'
_space_group_IT_number 216
_space_group_name_Hall 'F -4 2 3'
loop_
_atom_site_label
_atom_site_fract_x
_atom_site_fract_y
_atom_site_fract_z
_atom_site_occupancy
Mg1 0.000 0.000 0.000 1
Pa1 0.000 0.000 0.500 1
In1 0.250 0.250 0.750 1
Ga1 0.250 0.250 0.250 1
```

* D(E_F): 14.66 states/eV per cell
* E: -4.2609 eV/atom

=====

[3]
Material: Cd2SiSe
Method: DFT, PBE-GGA
State: relaxed

Cell and atoms, written as CIF:
```
data_Cd2SiSe
_chemical_formula_sum 'Cd8 Si4 Se4'
_cell_length_a 7.053
_cell_length_b 7.053
_cell_length_c 7.053
_cell_angle_alpha 90.00
_cell_angle_beta 90.00
_cell_angle_gamma 90.00
_space_group_name_H-M_alt 'F -4 3 m'
_space_group_IT_number 216
_space_group_name_Hall 'F -4 2 3'
loop_
_atom_site_label
_atom_site_fract_x
_atom_site_fract_y
_atom_site_fract_z
_atom_site_occupancy
Cd1 0.000 0.000 0.000 1
Cd2 0.250 0.250 0.250 1
Si1 0.000 0.000 0.500 1
Se1 0.250 0.250 0.750 1
```

* ΔE_f (raw): 0.393 eV per atom
* D(E_F): 11.19 states/eV per cell
* relative energy among the computed polymorphs: 315 meV/atom

=====

[4]
Material: ReTcTe
Method: DFT, PBE-GGA
State: relaxed

Cell and atoms, written as CIF:
```
data_ReTcTe
_chemical_formula_sum 'Re1 Tc1 Te1'
_cell_length_a 3.0269
_cell_length_b 3.0269
_cell_length_c 6.5123
_cell_angle_alpha 90.00
_cell_angle_beta 90.00
_cell_angle_gamma 120.00
_space_group_name_H-M_alt 'P 3 m 1'
_space_group_IT_number 156
loop_
_space_group_symop_operation_xyz
'x,y,z'
'-y,x-y,z'
'-x+y,-x,z'
'-y,-x,z'
'-x+y,y,z'
'x,x-y,z'
loop_
_atom_site_label
_atom_site_fract_x
_atom_site_fract_y
_atom_site_fract_z
_atom_site_occupancy
Re1 0.0000 0.0000 0.0000 1
Tc1 0.6667 0.3333 0.3052 1
Te1 0.3333 0.6667 0.6503 1
```

* ΔE_f (raw): 0.528 eV per atom
* D(E_F): 2.35 states/eV per cell
* relative energy among the computed polymorphs: 104 meV/atom

=====

[5]
Material: SiIr2Rh
Method: DFT, PBE-GGA
State: relaxed

Cell and atoms, written as CIF:
```
data_SiIr2Rh
_chemical_formula_sum 'Si1 Ir2 Rh1'
_cell_length_a 2.851
_cell_length_b 2.851
_cell_length_c 6.860
_cell_angle_alpha 90.00
_cell_angle_beta 90.00
_cell_angle_gamma 90.00
_space_group_name_H-M_alt 'P 4/m m m'
_space_group_IT_number 123
_space_group_name_Hall '-P 4 2'
loop_
_atom_site_label
_atom_site_fract_x
_atom_site_fract_y
_atom_site_fract_z
_atom_site_occupancy
Si1 0.000 0.000 0.000 1
Ir1 0.500 0.500 0.212 1
Rh1 0.000 0.000 0.500 1
```

* ΔE_f (raw): -0.248 eV per atom
* D(E_F): 5.82 states/eV per cell

=====

[6]
Material: CaBePt2
Method: DFT, PBE-GGA
State: relaxed

Cell and atoms, written as CIF:
```
data_CaBePt2
_chemical_formula_sum 'Ca2 Be2 Pt4'
_cell_length_a 4.223
_cell_length_b 4.223
_cell_length_c 7.326
_cell_angle_alpha 90.00
_cell_angle_beta 90.00
_cell_angle_gamma 90.00
_space_group_name_H-M_alt 'I 4/m m m'
_space_group_IT_number 139
_space_group_name_Hall '-I 4 2'
loop_
_atom_site_label
_atom_site_fract_x
_atom_site_fract_y
_atom_site_fract_z
_atom_site_occupancy
Ca1 0.000 0.000 0.000 1
Be1 0.000 0.000 0.500 1
Pt1 0.000 0.500 0.250 1
```

* D(E_F): 2.92 states/eV per cell
* E: -4.8585 eV/atom

=====

[7]
Material: Tb5PaRu6
Method: DFT, PBE-GGA
State: relaxed

Cell and atoms, written as CIF:
```
data_Tb5PaRu6
_chemical_formula_sum 'Tb10 Pa2 Ru12'
_cell_length_a 4.879
_cell_length_b 14.355
_cell_length_c 6.856
_cell_angle_alpha 90.00
_cell_angle_beta 90.00
_cell_angle_gamma 90.00
_space_group_name_H-M_alt 'C m m m'
_space_group_IT_number 65
_space_group_name_Hall '-C 2 2'
loop_
_atom_site_label
_atom_site_fract_x
_atom_site_fract_y
_atom_site_fract_z
_atom_site_occupancy
Tb1 0.000 0.000 0.000 1
Tb2 0.000 0.330 0.500 1
Tb3 0.000 0.333 0.000 1
Pa1 0.000 0.000 0.500 1
Ru1 0.000 0.156 0.263 1
Ru2 0.000 0.500 0.265 1
```

* D(E_F): 13.10 states/eV per cell
* E: -7.7803 eV/atom

=====

[8]
Material: MgPtW2
Method: DFT, PBE-GGA
State: relaxed

Cell and atoms, written as CIF:
```
data_MgPtW2
_chemical_formula_sum 'Mg2 Pt2 W4'
_cell_length_a 3.419
_cell_length_b 4.355
_cell_length_c 8.766
_cell_angle_alpha 90.00
_cell_angle_beta 90.00
_cell_angle_gamma 90.00
_space_group_name_H-M_alt 'C m m 2'
_space_group_IT_number 35
loop_
_space_group_symop_operation_xyz
'x,y,z'
'-x,-y,z'
'-x,y,z'
'x,-y,z'
'x+1/2,y+1/2,z'
'-x+1/2,-y+1/2,z'
'-x+1/2,y+1/2,z'
'x+1/2,-y+1/2,z'
loop_
_atom_site_label
_atom_site_fract_x
_atom_site_fract_y
_atom_site_fract_z
_atom_site_occupancy
Mg1 0.000 0.000 0.000 1
Pt1 0.000 0.500 0.760 1
W1 0.000 0.000 0.523 1
W2 0.000 0.500 0.271 1
```

* D(E_F): 4.96 states/eV per cell
* E: -8.4243 eV/atom

=====

[9]
Material: LiInCo2
Method: DFT, PBE-GGA
State: relaxed

Cell and atoms, written as CIF:
```
data_LiInCo2
_chemical_formula_sum 'Li1 In1 Co2'
_cell_length_a 2.743
_cell_length_b 3.872
_cell_length_c 5.239
_cell_angle_alpha 90.00
_cell_angle_beta 90.00
_cell_angle_gamma 90.00
_space_group_name_H-M_alt 'P m m m'
_space_group_IT_number 47
loop_
_space_group_symop_operation_xyz
'x,y,z'
'-x,-y,-z'
'-x,-y,z'
'x,y,-z'
'x,-y,-z'
'-x,y,z'
'-x,y,-z'
'x,-y,z'
loop_
_atom_site_label
_atom_site_fract_x
_atom_site_fract_y
_atom_site_fract_z
_atom_site_occupancy
Li1 0.000 0.000 0.000 1
In1 0.000 0.000 0.500 1
Co1 0.500 0.500 0.220 1
```

* D(E_F): 5.40 states/eV per cell
* E: -4.4623 eV/atom

=====

[10]
Material: TmMgAlCd
Method: DFT, PBE-GGA
State: relaxed

Cell and atoms, written as CIF:
```
data_TmMgAlCd
_chemical_formula_sum 'Tm4 Mg4 Al4 Cd4'
_cell_length_a 7.054
_cell_length_b 7.054
_cell_length_c 7.054
_cell_angle_alpha 90.00
_cell_angle_beta 90.00
_cell_angle_gamma 90.00
_space_group_name_H-M_alt 'F -4 3 m'
_space_group_IT_number 216
_space_group_name_Hall 'F -4 2 3'
loop_
_atom_site_label
_atom_site_fract_x
_atom_site_fract_y
_atom_site_fract_z
_atom_site_occupancy
Tm1 0.000 0.000 0.000 1
Mg1 0.000 0.000 0.500 1
Al1 0.250 0.250 0.750 1
Cd1 0.250 0.250 0.250 1
```

* D(E_F): 3.61 states/eV per cell
* E: -2.9199 eV/atom

=====

[11]
Material: UPdN
Method: DFT, PBE-GGA
State: relaxed

Cell and atoms, written as CIF:
```
data_UPdN
_chemical_formula_sum 'U1 Pd1 N1'
_cell_length_a 3.7682
_cell_length_b 3.7682
_cell_length_c 4.1833
_cell_angle_alpha 90.00
_cell_angle_beta 90.00
_cell_angle_gamma 120.00
_space_group_name_H-M_alt 'P -6 m 2'
_space_group_IT_number 187
_space_group_name_Hall 'P -6 2'
loop_
_atom_site_label
_atom_site_fract_x
_atom_site_fract_y
_atom_site_fract_z
_atom_site_occupancy
U1 0.0000 0.0000 0.0000 1
Pd1 0.3333 0.6667 0.5000 1
N1 0.6667 0.3333 0.0000 1
```

* ΔE_f (raw): -0.502 eV per atom
* D(E_F): 3.53 states/eV per cell

=====

[12]
Material: Be2SiPH
Method: DFT, PBE-GGA
State: relaxed

Cell and atoms, written as CIF:
```
data_Be2SiPH
_chemical_formula_sum 'Be2 Si1 P1 H1'
_cell_length_a 3.690
_cell_length_b 3.690
_cell_length_c 3.596
_cell_angle_alpha 90.00
_cell_angle_beta 90.00
_cell_angle_gamma 90.00
_space_group_name_H-M_alt 'P 4/m m m'
_space_group_IT_number 123
_space_group_name_Hall '-P 4 2'
loop_
_atom_site_label
_atom_site_fract_x
_atom_site_fract_y
_atom_site_fract_z
_atom_site_occupancy
Be1 0.000 0.500 0.000 1
Si1 0.000 0.000 0.500 1
P1 0.500 0.500 0.500 1
H1 0.000 0.000 0.000 1
```

* D(E_F): 1.72 states/eV per cell
* E: -3.7196 eV/atom

=====

Taking the records one at a time from the top gives mass density values of 7.15; 8.03; 6.28; 13.23; 15.35; 11.16; 11.29; 14.94; 7.15; 6.29; 11.57; 2.65 g/cm3.